No. 1
# K2Mg2Ti (PBE, optimized geometry)
# Total magnetic moment, μB/f.u.: 2.9
# ΔE_f, kJ/mol of formula units: 308
# Polymorph energy (0 for the lowest one), eV per atom: 0.000
data_K2Mg2Ti
_cell_length_a 7.845
_cell_length_b 7.845
_cell_length_c 6.082
_cell_angle_alpha 90.00
_cell_angle_beta 90.00
_cell_angle_gamma 90.00
_symmetry_space_group_name_H-M 'P 4/m b m'
_symmetry_Int_Tables_number 127
_symmetry_space_group_name_Hall '-P 4 2ab'
loop_
_atom_site_label
_atom_site_type_symbol
_atom_site_fract_x
_atom_site_fract_y
_atom_site_fract_z
_atom_site_occupancy
K1 K 0.178 0.322 0.000 1
Mg1 Mg 0.141 0.641 0.500 1
Ti1 Ti 0.000 0.000 0.500 1

---

No. 2
# DyTa2S6 (PBE, optimized geometry)
# Total magnetic moment, μB/f.u.: 0.0
# Energy relative to the elements, uncorrected, eV per atom: -1.115
data_DyTa2S6
_cell_length_a 11.657
_cell_length_b 4.820
_cell_length_c 8.393
_cell_angle_alpha 90.00
_cell_angle_beta 117.57
_cell_angle_gamma 90.00
_symmetry_space_group_name_H-M 'C 1 2/m 1'
_symmetry_Int_Tables_number 12
_symmetry_space_group_name_Hall '-C 2y'
loop_
_atom_site_label
_atom_site_type_symbol
_atom_site_fract_x
_atom_site_fract_y
_atom_site_fract_z
_atom_site_occupancy
Dy1 Dy 0.000 0.000 0.000 1
Ta1 Ta 0.190 0.000 0.580 1
S1 S 0.020 0.000 0.691 1
S2 S 0.149 0.500 0.112 1
S3 S 0.192 0.500 0.599 1

---

No. 3
# MgMnPb2 (PBE, optimized geometry)
# Total magnetic moment, μB/f.u.: 4.0
# ΔE_f, kJ/mol of formula units: 95
data_MgMnPb2
_cell_length_a 4.715
_cell_length_b 4.824
_cell_length_c 8.495
_cell_angle_alpha 90.00
_cell_angle_beta 90.00
_cell_angle_gamma 90.00
_symmetry_space_group_name_H-M 'I m m m'
_symmetry_Int_Tables_number 71
_symmetry_space_group_name_Hall '-I 2 2'
loop_
_atom_site_label
_atom_site_type_symbol
_atom_site_fract_x
_atom_site_fract_y
_atom_site_fract_z
_atom_site_occupancy
Mg1 Mg 0.000 0.000 0.000 1
Mn1 Mn 0.000 0.000 0.500 1
Pb1 Pb 0.000 0.500 0.248 1

---

No. 4
# SnC3Se (PBE, optimized geometry)
# Total magnetic moment, μB/f.u.: 1.6
# Energy relative to the elements, uncorrected, eV per atom: 3.027
# Polymorph energy (0 for the lowest one), eV per atom: 0.384
data_SnC3Se
_cell_length_a 4.339
_cell_length_b 4.339
_cell_length_c 4.339
_cell_angle_alpha 90.00
_cell_angle_beta 90.00
_cell_angle_gamma 90.00
_symmetry_space_group_name_H-M 'P m -3 m'
_symmetry_Int_Tables_number 221
_symmetry_space_group_name_Hall '-P 4 2 3'
loop_
_atom_site_label
_atom_site_type_symbol
_atom_site_fract_x
_atom_site_fract_y
_atom_site_fract_z
_atom_site_occupancy
Sn1 Sn 0.000 0.000 0.000 1
C1 C 0.000 0.000 0.500 1
Se1 Se 0.500 0.500 0.500 1

---

No. 5
# Y2Mo (PBE, optimized geometry)
# Total magnetic moment, μB/f.u.: 0.0
# ΔE_f, kJ/mol of formula units: 64
# Polymorph energy (0 for the lowest one), eV per atom: 0.076
data_Y2Mo
_cell_length_a 11.840
_cell_length_b 3.597
_cell_length_c 7.772
_cell_angle_alpha 90.00
_cell_angle_beta 109.19
_cell_angle_gamma 90.00
_symmetry_space_group_name_H-M 'C 1 m 1'
_symmetry_Int_Tables_number 8
_symmetry_space_group_name_Hall 'C -2y'
loop_
_atom_site_label
_atom_site_type_symbol
_atom_site_fract_x
_atom_site_fract_y
_atom_site_fract_z
_atom_site_occupancy
Y1 Y 0.000 0.000 0.000 1
Y2 Y 0.001 0.000 0.500 1
Y3 Y 0.196 0.500 0.813 1
Y4 Y 0.304 0.000 0.189 1
Mo1 Mo 0.192 0.500 0.399 1
Mo2 Mo 0.312 0.000 0.607 1

---

No. 6
# ScHgP2 (PBE, optimized geometry)
# Total magnetic moment, μB/f.u.: 0.2
# ΔE_f, kJ/mol of formula units: -59
data_ScHgP2
_cell_length_a 3.345
_cell_length_b 3.345
_cell_length_c 6.707
_cell_angle_alpha 90.00
_cell_angle_beta 90.00
_cell_angle_gamma 90.00
_symmetry_space_group_name_H-M 'P 4 m m'
_symmetry_Int_Tables_number 99
_symmetry_space_group_name_Hall 'P 4 -2'
loop_
_atom_site_label
_atom_site_type_symbol
_atom_site_fract_x
_atom_site_fract_y
_atom_site_fract_z
_atom_site_occupancy
Sc1 Sc 0.000 0.000 0.000 1
Hg1 Hg 0.500 0.500 0.307 1
P1 P 0.000 0.000 0.629 1
P2 P 0.500 0.500 0.765 1

---

| no. | DOS(E_F) (states/eV per cell) |
| --- | --- |
| 1 | 11.623 |
| 2 | 1.538 |
| 3 | 4.763 |
| 4 | 3.542 |
| 5 | 14.558 |
| 6 | 2.623 |